Record 1
Cs2ScCdBr6 | PBE | relaxed

Cell: 8.066 8.066 11.377 Å, 90.00 90.00 90.00°
Space group I4/mmm (No. 139)
Symmetry-distinct sites (fractional):
1 Cs 0.000 0.500 0.250 [4 per cell]
2 Sc 0.000 0.000 0.000 [2 per cell]
3 Cd 0.000 0.000 0.500 [2 per cell]
4 Br 0.000 0.000 0.236 [4 per cell]
5 Br 0.235 0.235 0.000 [8 per cell]

***

Record 2
CsScCd2Br8 | PBE | relaxed

Cell: 6.917 6.924 10.448 Å, 84.43 84.15 68.08°
Space group P-1 (No. 2)
Symmetry-distinct sites (fractional):
1 Cs 0.000 0.000 0.000 [1 per cell]
2 Sc 0.000 0.000 0.500 [1 per cell]
3 Cd 0.372 0.371 0.301 [2 per cell]
4 Br 0.208 0.731 0.685 [2 per cell]
5 Br 0.230 0.230 0.519 [2 per cell]
6 Br 0.269 0.790 0.313 [2 per cell]
7 Br 0.322 0.313 0.072 [2 per cell]

***

Record 3
CsScCdBr6 | PBE | relaxed

Cell: 7.1654 7.1654 8.1255 Å, 90.00 90.00 120.00°
Space group P312 (No. 149)
Symmetry-distinct sites (fractional):
1 Cs 0.0000 0.0000 0.0000 [1 per cell]
2 Sc 0.3333 0.6667 0.5000 [1 per cell]
3 Cd 0.6667 0.3333 0.5000 [1 per cell]
4 Br 0.0144 0.3839 0.6941 [6 per cell]

***

Record 4
CsCdSeBr2 | PBE | relaxed

Cell: 6.590 6.590 5.945 Å, 90.00 90.00 90.00°
Space group P4/mmm (No. 123)
Symmetry-distinct sites (fractional):
1 Cs 0.000 0.000 0.000 [1 per cell]
2 Cd 0.500 0.500 0.500 [1 per cell]
3 Se 0.000 0.000 0.500 [1 per cell]
4 Br 0.000 0.500 0.000 [2 per cell]

***

Record 5
CsSmCdBr6 | PBE | relaxed

Cell: 7.4245 7.4245 8.0706 Å, 90.00 90.00 120.00°
Space group P312 (No. 149)
Symmetry-distinct sites (fractional):
1 Cs 0.0000 0.0000 0.0000 [1 per cell]
2 Sm 0.3333 0.6667 0.5000 [1 per cell]
3 Cd 0.6667 0.3333 0.5000 [1 per cell]
4 Br 0.3838 0.0054 0.7062 [6 per cell]

***

Record 6
CsSmCd2Br8 | PBE | relaxed

Cell: 7.077 7.188 10.097 Å, 73.49 76.13 74.37°
Space group P-1 (No. 2)
Symmetry-distinct sites (fractional):
1 Cs 0.000 0.000 0.000 [1 per cell]
2 Sm 0.000 0.000 0.500 [1 per cell]
3 Cd 0.455 0.442 0.219 [2 per cell]
4 Br 0.164 0.703 0.730 [2 per cell]
5 Br 0.263 0.796 0.296 [2 per cell]
6 Br 0.279 0.238 0.471 [2 per cell]
7 Br 0.388 0.286 0.030 [2 per cell]

***

Record 7
Cs3Cd2SnBr9 | PBE | relaxed

Cell: 8.0592 8.0592 9.8864 Å, 90.00 90.00 120.00°
Space group P-3m1 (No. 164)
Symmetry-distinct sites (fractional):
1 Cs 0.0000 0.0000 0.0000 [1 per cell]
2 Cs 0.3333 0.6667 0.6715 [2 per cell]
3 Cd 0.3333 0.6667 0.1610 [2 per cell]
4 Sn 0.0000 0.0000 0.5000 [1 per cell]
5 Br 0.0000 0.5000 0.0000 [3 per cell]
6 Br 0.1706 0.3412 0.3272 [6 per cell]

***

Record 8
CsCd2SnBr8 | PBE | relaxed

Cell: 7.0445 7.0445 32.2625 Å, 90.00 90.00 120.00°
Space group R-3 (No. 148, hexagonal axes)
Symmetry-distinct sites (fractional):
1 Cs 0.0000 0.0000 0.0000 [3 per cell]
2 Cd 0.0000 0.0000 0.2438 [6 per cell]
3 Sn 0.0000 0.0000 0.5000 [3 per cell]
4 Br 0.0000 0.0000 0.3232 [6 per cell]
5 Br 0.0070 0.3645 0.7823 [18 per cell]

***

Number 1: calculated volume 37.009 Å³/atom, formation energy from raw total energies -14.82 eV per formula unit, mass density 4.05 Mg/m³. Number 2: calculated volume 38.407 Å³/atom, formation energy from raw total energies -15.30 eV per formula unit, mass density 3.75 Mg/m³. Number 3: calculated volume 40.143 Å³/atom, formation energy from raw total energies -13.16 eV per formula unit, mass density 3.54 Mg/m³. Number 4: calculated volume 51.642 Å³/atom, formation energy from raw total energies 0.96 eV per formula unit, mass density 3.11 Mg/m³. Number 5: calculated volume 42.808 Å³/atom, formation energy from raw total energies -13.86 eV per formula unit, mass density 3.77 Mg/m³. Number 6: calculated volume 38.898 Å³/atom, formation energy from raw total energies -15.75 eV per formula unit, mass density 4.08 Mg/m³. Number 7: calculated volume 37.073 Å³/atom, formation energy from raw total energies -18.48 eV per formula unit, mass density 4.36 Mg/m³. Number 8: calculated volume 38.515 Å³/atom, formation energy from raw total energies -10.83 eV per formula unit, mass density 4.01 Mg/m³.